Y4AlHg2 (GGA-PBE, optimized geometry); formation energy = -0.30 eV/atom; DOS(E_F) = 8.34 states/eV/f.u.
1.0
2.582 1.491 8.394
-2.582 1.491 8.394
0.000 -2.982 8.394
Y Al Hg
4 1 2
Direct
0.122 0.122 0.122 Y
0.374 0.374 0.374 Y
0.626 0.626 0.626 Y
0.878 0.878 0.878 Y
0.500 0.500 0.500 Al
0.249 0.249 0.249 Hg
0.751 0.751 0.751 Hg

Y2Al3Zn4Hg (GGA-PBE, optimized geometry); formation energy = -0.32 eV/atom; DOS(E_F) = 4.77 states/eV/f.u.
1.0
4.217 0.000 0.000
0.000 4.217 0.000
0.000 0.000 10.880
Y Al Zn Hg
2 3 4 1
Direct
0.000 0.500 0.240 Y
0.500 0.000 0.760 Y
0.000 0.500 0.869 Al
0.500 0.000 0.131 Al
0.500 0.500 0.500 Al
0.000 0.000 0.000 Zn
0.000 0.500 0.647 Zn
0.500 0.000 0.353 Zn
0.500 0.500 0.000 Zn
0.000 0.000 0.500 Hg

YAlZnHg (GGA-PBE, optimized geometry); formation energy = -0.27 eV/atom; DOS(E_F) = 0.58 states/eV/f.u.
1.0
0.000 3.470 3.470
3.470 0.000 3.470
3.470 3.470 0.000
Y Al Zn Hg
1 1 1 1
Direct
0.000 0.000 0.000 Y
0.500 0.500 0.500 Al
0.250 0.250 0.250 Zn
0.750 0.750 0.750 Hg

Y4AlZnHg2 (GGA-PBE, optimized geometry); formation energy = -0.42 eV/atom; DOS(E_F) = 9.15 states/eV/f.u.
1.0
2.598 1.500 8.500
-2.598 1.500 8.500
0.000 -3.000 8.500
Y Al Zn Hg
4 1 1 2
Direct
0.124 0.124 0.124 Y
0.374 0.374 0.374 Y
0.626 0.626 0.626 Y
0.876 0.876 0.876 Y
0.500 0.500 0.500 Al
0.000 0.000 0.000 Zn
0.251 0.251 0.251 Hg
0.749 0.749 0.749 Hg

AlZnHg2 (GGA-PBE, optimized geometry); formation energy = 0.20 eV/atom; DOS(E_F) = 1.39 states/eV/f.u.
1.0
-3.865 3.865 2.982
3.865 -3.865 2.982
3.865 3.865 -2.982
Al Zn Hg
2 2 4
Direct
0.000 0.000 0.000 Al
0.750 0.250 0.500 Al
0.250 0.750 0.500 Zn
0.500 0.500 0.000 Zn
0.124 0.625 0.999 Hg
0.375 0.374 0.499 Hg
0.626 0.125 0.001 Hg
0.875 0.876 0.501 Hg

AlZnHg2 (GGA-PBE, optimized geometry); formation energy = 0.14 eV/atom; DOS(E_F) = 1.36 states/eV/f.u.
1.0
-1.514 2.260 6.284
1.514 -2.260 6.284
1.514 2.260 -6.284
Al Zn Hg
1 1 2
Direct
0.000 0.000 0.000 Al
0.822 0.322 0.500 Zn
0.253 0.753 0.500 Hg
0.566 0.566 0.000 Hg

AlZnHg (GGA-PBE, optimized geometry); formation energy = 0.15 eV/atom; DOS(E_F) = 1.59 states/eV/f.u.
1.0
0.000 3.150 3.150
3.150 0.000 3.150
3.150 3.150 0.000
Al Zn Hg
1 1 1
Direct
0.000 0.000 0.000 Al
0.500 0.500 0.500 Zn
0.750 0.750 0.750 Hg

AlZnHg2 (GGA-PBE, optimized geometry); formation energy = 0.22 eV/atom; DOS(E_F) = 0.77 states/eV/f.u.
1.0
0.000 3.488 3.488
3.488 0.000 3.488
3.488 3.488 0.000
Al Zn Hg
1 1 2
Direct
0.000 0.000 0.000 Al
0.750 0.750 0.750 Zn
0.250 0.250 0.250 Hg
0.500 0.500 0.500 Hg

AlZnHg (GGA-PBE, optimized geometry); formation energy = 0.14 eV/atom; DOS(E_F) = 1.53 states/eV/f.u.
1.0
3.231 0.000 0.000
-1.616 2.798 0.000
0.000 0.000 6.307
Al Zn Hg
1 1 1
Direct
0.000 0.000 0.000 Al
0.333 0.667 0.687 Zn
0.667 0.333 0.347 Hg

AlZnHg2 (GGA-PBE, optimized geometry); formation energy = 0.13 eV/atom; DOS(E_F) = 1.16 states/eV/f.u.
1.0
3.875 0.000 0.000
0.000 4.263 0.000
-1.651 0.000 5.126
Al Zn Hg
1 1 2
Direct
0.000 0.000 0.000 Al
0.837 0.500 0.668 Zn
0.278 0.000 0.539 Hg
0.556 0.500 0.125 Hg

AlZnHg2 (GGA-PBE, optimized geometry); formation energy = 0.15 eV/atom; DOS(E_F) = 1.74 states/eV/f.u.
1.0
1.751 1.011 7.980
-1.751 1.011 7.980
0.000 -2.022 7.980
Al Zn Hg
1 1 2
Direct
0.000 0.000 0.000 Al
0.168 0.168 0.168 Zn
0.417 0.417 0.417 Hg
0.584 0.584 0.584 Hg

Al4ZnHg (GGA-PBE, optimized geometry); formation energy = 0.25 eV/atom; DOS(E_F) = 3.41 states/eV/f.u.
1.0
0.000 3.858 3.858
3.858 0.000 3.858
3.858 3.858 0.000
Al Zn Hg
4 1 1
Direct
0.125 0.125 0.125 Al
0.125 0.125 0.624 Al
0.125 0.624 0.125 Al
0.624 0.125 0.125 Al
0.500 0.500 0.500 Zn
0.750 0.750 0.750 Hg